The following is a PBE calculation of an optimized crystal structure of CdBCl2, from Alexandria.

Cell and atoms, written as POSCAR:
```
CdBCl2
1.0
-4.660 4.710 0.729
-0.115 -1.130 6.568
0.986 5.033 4.265
B Cd Cl
2 2 4
Direct
0.250 0.750 0.500 B
0.500 0.500 0.000 B
0.000 0.000 0.000 Cd
0.750 0.250 0.500 Cd
0.375 0.625 0.250 Cl
0.375 0.625 0.750 Cl
0.875 0.625 0.750 Cl
0.375 0.125 0.250 Cl
```

- Uncorrected formation energy: 251 meV/atom
- DFT total energy: -2.57 eV per atom
- D(E_F): 0.080 states/eV per atom